Entry 1:
TaTlCdCu | GGA-PBE | optimized geometry

```
data_TaTlCdCu
_space_group_name_H-M_alt 'F -4 3 m'
_space_group_IT_number 216
_space_group_name_Hall 'F -4 2 3'
_cell_length_a 6.7296
_cell_length_b 6.7296
_cell_length_c 6.7296
_cell_angle_alpha 90.00
_cell_angle_beta 90.00
_cell_angle_gamma 90.00
loop_
_atom_site_label
_atom_site_type_symbol
_atom_site_fract_x
_atom_site_fract_y
_atom_site_fract_z
Ta1 Ta 0.0000 0.0000 0.0000
Tl1 Tl 0.2500 0.2500 0.2500
Cd1 Cd 0.2500 0.2500 0.7500
Cu1 Cu 0.0000 0.0000 0.5000
```

Raw total energy ... -4.00 eV per atom
ρ ... 12.23 g cm⁻³

---

Entry 2:
PrSmGeI2 | GGA-PBE | optimized geometry

```
data_PrSmGeI2
_space_group_name_H-M_alt 'P 3 m 1'
_space_group_IT_number 156
_cell_length_a 4.3732
_cell_length_b 4.3732
_cell_length_c 10.9209
_cell_angle_alpha 90.00
_cell_angle_beta 90.00
_cell_angle_gamma 120.00
loop_
_space_group_symop_operation_xyz
'x,y,z'
'-y,x-y,z'
'-x+y,-x,z'
'-y,-x,z'
'-x+y,y,z'
'x,x-y,z'
loop_
_atom_site_label
_atom_site_type_symbol
_atom_site_fract_x
_atom_site_fract_y
_atom_site_fract_z
Pr1 Pr 0.0000 0.0000 0.0000
Sm1 Sm 0.3333 0.6667 0.6992
Ge1 Ge 0.6667 0.3333 0.8466
I1 I 0.0000 0.0000 0.5156
I2 I 0.3333 0.6667 0.1906
```

Raw total energy ... -4.67 eV per atom
ρ ... 5.67 g cm⁻³

---

Entry 3:
La2GeSbPd2 | GGA-PBE | optimized geometry

```
data_La2GeSbPd2
_space_group_name_H-M_alt 'P -6 m 2'
_space_group_IT_number 187
_space_group_name_Hall 'P -6 2'
_cell_length_a 4.5213
_cell_length_b 4.5213
_cell_length_c 8.3477
_cell_angle_alpha 90.00
_cell_angle_beta 90.00
_cell_angle_gamma 120.00
loop_
_atom_site_label
_atom_site_type_symbol
_atom_site_fract_x
_atom_site_fract_y
_atom_site_fract_z
La1 La 0.0000 0.0000 0.2384
Ge1 Ge 0.6667 0.3333 0.0000
Sb1 Sb 0.3333 0.6667 0.5000
Pd1 Pd 0.3333 0.6667 0.0000
Pd2 Pd 0.6667 0.3333 0.5000
```

Raw total energy ... -5.86 eV per atom
ρ ... 7.70 g cm⁻³

---

Entry 4:
Tb2GdSe3 | GGA-PBE | optimized geometry

```
data_Tb2GdSe3
_space_group_name_H-M_alt 'P -3 m 1'
_space_group_IT_number 164
_space_group_name_Hall '-P 3 2"'
_cell_length_a 4.0841
_cell_length_b 4.0841
_cell_length_c 10.0665
_cell_angle_alpha 90.00
_cell_angle_beta 90.00
_cell_angle_gamma 120.00
loop_
_atom_site_label
_atom_site_type_symbol
_atom_site_fract_x
_atom_site_fract_y
_atom_site_fract_z
Tb1 Tb 0.3333 0.6667 0.1666
Gd1 Gd 0.0000 0.0000 0.5000
Se1 Se 0.0000 0.0000 0.0000
Se2 Se 0.3333 0.6667 0.6683
```

Raw total energy ... -5.84 eV per atom
ρ ... 8.13 g cm⁻³

---

Entry 5:
InTcAs2 | GGA-PBE | optimized geometry

```
data_InTcAs2
_space_group_name_H-M_alt 'F -4 3 m'
_space_group_IT_number 216
_space_group_name_Hall 'F -4 2 3'
_cell_length_a 6.6168
_cell_length_b 6.6168
_cell_length_c 6.6168
_cell_angle_alpha 90.00
_cell_angle_beta 90.00
_cell_angle_gamma 90.00
loop_
_atom_site_label
_atom_site_type_symbol
_atom_site_fract_x
_atom_site_fract_y
_atom_site_fract_z
In1 In 0.0000 0.0000 0.0000
Tc1 Tc 0.2500 0.2500 0.7500
As1 As 0.0000 0.0000 0.5000
As2 As 0.2500 0.2500 0.2500
```

Raw total energy ... -5.01 eV per atom
ρ ... 8.31 g cm⁻³

---

Entry 6:
Al10Ni3 | GGA-PBE | optimized geometry

```
data_Al10Ni3
_space_group_name_H-M_alt 'R -3 m'
_space_group_IT_number 166
_space_group_name_Hall '-R 3 2"'
_cell_length_a 5.2851
_cell_length_b 5.2851
_cell_length_c 24.6311
_cell_angle_alpha 90.00
_cell_angle_beta 90.00
_cell_angle_gamma 120.00
loop_
_atom_site_label
_atom_site_type_symbol
_atom_site_fract_x
_atom_site_fract_y
_atom_site_fract_z
Al1 Al 0.0000 0.0000 0.0506
Al2 Al 0.0000 0.0000 0.3324
Al3 Al 0.0071 0.5035 0.9024
Ni1 Ni 0.0000 0.0000 0.1484
Ni2 Ni 0.0000 0.0000 0.5000
```

Raw total energy ... -4.24 eV per atom
ρ ... 3.73 g cm⁻³

---

Entry 7:
Lu2Nb3Ge4 | GGA-PBE | optimized geometry

```
data_Lu2Nb3Ge4
_space_group_name_H-M_alt 'P n m a'
_space_group_IT_number 62
_cell_length_a 6.9483
_cell_length_b 13.4616
_cell_length_c 7.1285
_cell_angle_alpha 90.00
_cell_angle_beta 90.00
_cell_angle_gamma 90.00
loop_
_space_group_symop_operation_xyz
'x,y,z'
'-x,-y,-z'
'-x+1/2,-y,z+1/2'
'x+1/2,y,-z+1/2'
'x+1/2,-y+1/2,-z+1/2'
'-x+1/2,y+1/2,z+1/2'
'-x,y+1/2,-z'
'x,-y+1/2,z'
loop_
_atom_site_label
_atom_site_type_symbol
_atom_site_fract_x
_atom_site_fract_y
_atom_site_fract_z
Lu1 Lu 0.0048 0.0945 0.1750
Nb1 Nb 0.1588 0.6262 0.3286
Nb2 Nb 0.1660 0.2500 0.5108
Ge1 Ge 0.0405 0.2500 0.8821
Ge2 Ge 0.1774 0.0411 0.5368
Ge3 Ge 0.1936 0.7500 0.6421
```

Raw total energy ... -7.15 eV per atom
ρ ... 9.16 g cm⁻³

---

Entry 8:
PmTaB4 | GGA-PBE | optimized geometry

```
data_PmTaB4
_space_group_name_H-M_alt 'I m m m'
_space_group_IT_number 71
_space_group_name_Hall '-I 2 2'
_cell_length_a 3.2022
_cell_length_b 5.5684
_cell_length_c 7.3423
_cell_angle_alpha 90.00
_cell_angle_beta 90.00
_cell_angle_gamma 90.00
loop_
_atom_site_label
_atom_site_type_symbol
_atom_site_fract_x
_atom_site_fract_y
_atom_site_fract_z
Pm1 Pm 0.0000 0.0000 0.0000
Ta1 Ta 0.0000 0.0000 0.5000
B1 B 0.0000 0.3361 0.2459
```

Raw total energy ... -7.70 eV per atom
ρ ... 9.37 g cm⁻³

---

Entry 9:
Sm3Al3GePd2 | GGA-PBE | optimized geometry

```
data_Sm3Al3GePd2
_space_group_name_H-M_alt 'P -6 2 m'
_space_group_IT_number 189
_space_group_name_Hall 'P -6 -2'
_cell_length_a 7.5486
_cell_length_b 7.5486
_cell_length_c 3.9040
_cell_angle_alpha 90.00
_cell_angle_beta 90.00
_cell_angle_gamma 120.00
loop_
_atom_site_label
_atom_site_type_symbol
_atom_site_fract_x
_atom_site_fract_y
_atom_site_fract_z
Sm1 Sm 0.0000 0.4009 0.0000
Al1 Al 0.0000 0.7432 0.5000
Ge1 Ge 0.0000 0.0000 0.0000
Pd1 Pd 0.3333 0.6667 0.5000
```

Raw total energy ... -5.18 eV per atom
ρ ... 7.05 g cm⁻³

---

Entry 10:
Dy2ErTm2Lu2Fe2Te2 | GGA-PBE | optimized geometry

```
data_Dy2ErTm2Lu2Fe2Te2
_space_group_name_H-M_alt 'I m m 2'
_space_group_IT_number 44
_cell_length_a 3.8512
_cell_length_b 15.4812
_cell_length_c 9.2179
_cell_angle_alpha 90.00
_cell_angle_beta 90.00
_cell_angle_gamma 90.00
loop_
_space_group_symop_operation_xyz
'x,y,z'
'-x,-y,z'
'-x,y,z'
'x,-y,z'
'x+1/2,y+1/2,z+1/2'
'-x+1/2,-y+1/2,z+1/2'
'-x+1/2,y+1/2,z+1/2'
'x+1/2,-y+1/2,z+1/2'
loop_
_atom_site_label
_atom_site_type_symbol
_atom_site_fract_x
_atom_site_fract_y
_atom_site_fract_z
Dy1 Dy 0.0000 0.1503 0.0000
Er1 Er 0.0000 0.5000 0.2646
Tm1 Tm 0.0000 0.3627 0.8477
Lu1 Lu 0.0000 0.1860 0.6385
Fe1 Fe 0.0000 0.2641 0.3296
Te1 Te 0.0000 0.0000 0.4974
Te2 Te 0.0000 0.5000 0.6031
```

Raw total energy ... -5.47 eV per atom
ρ ... 9.35 g cm⁻³

---

Entry 11:
YTlAgAu | GGA-PBE | optimized geometry

```
data_YTlAgAu
_space_group_name_H-M_alt 'F -4 3 m'
_space_group_IT_number 216
_space_group_name_Hall 'F -4 2 3'
_cell_length_a 7.0415
_cell_length_b 7.0415
_cell_length_c 7.0415
_cell_angle_alpha 90.00
_cell_angle_beta 90.00
_cell_angle_gamma 90.00
loop_
_atom_site_label
_atom_site_type_symbol
_atom_site_fract_x
_atom_site_fract_y
_atom_site_fract_z
Y1 Y 0.0000 0.0000 0.0000
Tl1 Tl 0.2500 0.2500 0.7500
Ag1 Ag 0.2500 0.2500 0.2500
Au1 Au 0.0000 0.0000 0.5000
```

Raw total energy ... -4.04 eV per atom
ρ ... 11.38 g cm⁻³

---

Entry 12:
PmZrPt | GGA-PBE | optimized geometry

```
data_PmZrPt
_space_group_name_H-M_alt 'F -4 3 m'
_space_group_IT_number 216
_space_group_name_Hall 'F -4 2 3'
_cell_length_a 6.7649
_cell_length_b 6.7649
_cell_length_c 6.7649
_cell_angle_alpha 90.00
_cell_angle_beta 90.00
_cell_angle_gamma 90.00
loop_
_atom_site_label
_atom_site_type_symbol
_atom_site_fract_x
_atom_site_fract_y
_atom_site_fract_z
Pm1 Pm 0.0000 0.0000 0.0000
Zr1 Zr 0.0000 0.0000 0.5000
Pt1 Pt 0.2500 0.2500 0.2500
```

Calculated formation energy ... -0.488 eV per atom
Raw total energy ... -6.94 eV per atom
ρ ... 9.25 g cm⁻³